First-principles (PBE) data for a geometry-optimized CePrY2 structure, as listed in Alexandria.

## Properties
ΔE_f ... 0.0598 eV per atom
ΔE to the lowest computed polymorph ... 0.02 eV/f.u.
Crystal system ... trigonal

a = 11.8352 Å, b = 11.8352 Å, c = 11.8352 Å
α = 17.45°, β = 17.45°, γ = 17.45°
Atoms (fractional coordinates):
Ce: 0.0000 0.0000 0.0000
Pr: 0.1660 0.1660 0.1660
Y: 0.4138 0.4138 0.4138
Y: 0.5861 0.5861 0.5861